# MgSi2Os

An optimized crystal structure of MgSi2Os (GGA-PBE, Alexandria).

The calculation puts the density of states at the Fermi level at 4.008 states/eV/cell. The calculation puts the final energy at -5.782 eV/atom.

The structure belongs to space group Immm (No. 71); the cell edges are 3.0746, 4.8946 and 8.2446 Å and the angles 90.00°, 90.00° and 90.00°. Symmetry generates all atoms from Mg at (0.0000, 0.0000, 0.0000), Si at (0.0000, 0.5000, 0.2304) and Os at (0.0000, 0.0000, 0.5000).